1.
# Li2Ho2Hg3

A relaxed structure of Li2Ho2Hg3 (PBE-GGA, Alexandria).

```
Li2Ho2Hg3
1.0
-1.023 -0.277 3.603
1.041 -3.365 0.036
10.394 3.270 5.160
Li Ho Hg
2 2 3
Direct
0.712 0.500 0.575
0.288 0.500 0.425
0.579 0.500 0.843
0.421 0.500 0.157
0.841 0.000 0.318
0.000 0.000 0.000
0.159 0.000 0.682
```

Output
Spin magnetization in μB/cell: 0.00
DFT total energy in eV per atom: -2.338


2.
# LiHoHg3

A relaxed structure of LiHoHg3 (PBE-GGA, Alexandria).

```
LiHoHg3
1.0
-3.513 -3.423 1.567
0.960 -2.903 -4.188
4.260 -5.883 5.045
Li Ho Hg
2 2 6
Direct
0.852 0.845 0.013
0.558 0.344 0.602
0.354 0.345 0.007
0.057 0.844 0.607
0.154 0.344 0.412
0.957 0.343 0.802
0.654 0.844 0.412
0.757 0.345 0.202
0.257 0.845 0.202
0.454 0.845 0.813
```

Output
Spin magnetization in μB/cell: 0.00
DFT total energy in eV per atom: -1.852